Arrangement one

# Li2HgCl | the Alexandria database | PBE-GGA | relaxed
# - N(E_F) (states/eV/f.u.) = 1.950
# - total magnetization (μB per formula unit) = 0.6
# - crystal system = cubic
data_Li2HgCl
_cell_length_a 7.248
_cell_length_b 7.248
_cell_length_c 7.248
_cell_angle_alpha 90.00
_cell_angle_beta 90.00
_cell_angle_gamma 90.00
_space_group_name_H-M_alt 'F -4 3 m'
_space_group_IT_number 216
_space_group_name_Hall 'F -4 2 3'
loop_
_atom_site_label
_atom_site_type_symbol
_atom_site_fract_x
_atom_site_fract_y
_atom_site_fract_z
Li1 Li 0.000 0.000 0.000
Li2 Li 0.250 0.250 0.250
Hg1 Hg 0.000 0.000 0.500
Cl1 Cl 0.250 0.250 0.750

Arrangement two

# Li2HgCl | the Alexandria database | PBE-GGA | relaxed
# - N(E_F) (states/eV/f.u.) = 0.925
# - total magnetization (μB per formula unit) = 0.0
# - crystal system = tetragonal
data_Li2HgCl
_cell_length_a 3.168
_cell_length_b 3.168
_cell_length_c 7.542
_cell_angle_alpha 90.00
_cell_angle_beta 90.00
_cell_angle_gamma 90.00
_space_group_name_H-M_alt 'P 4/m m m'
_space_group_IT_number 123
_space_group_name_Hall '-P 4 2'
loop_
_atom_site_label
_atom_site_type_symbol
_atom_site_fract_x
_atom_site_fract_y
_atom_site_fract_z
Li1 Li 0.000 0.000 0.204
Hg1 Hg 0.500 0.500 0.500
Cl1 Cl 0.500 0.500 0.000

Arrangement three

# Li2HgCl | the Alexandria database | PBE-GGA | relaxed
# - N(E_F) (states/eV/f.u.) = 2.284
# - total magnetization (μB per formula unit) = 0.0
# - crystal system = tetragonal
data_Li2HgCl
_cell_length_a 6.939
_cell_length_b 6.939
_cell_length_c 7.360
_cell_angle_alpha 90.00
_cell_angle_beta 90.00
_cell_angle_gamma 90.00
_space_group_name_H-M_alt 'I -4 2 d'
_space_group_IT_number 122
_space_group_name_Hall 'I -4 2bw'
loop_
_atom_site_label
_atom_site_type_symbol
_atom_site_fract_x
_atom_site_fract_y
_atom_site_fract_z
Li1 Li 0.189 0.250 0.125
Hg1 Hg 0.000 0.000 0.500
Cl1 Cl 0.000 0.000 0.000

Short version: arrangement one is the least stable of them.

Arrangement one

# Li2HgCl | the Alexandria database | PBE-GGA | relaxed
# - N(E_F) (states/eV/f.u.) = 1.449
# - total magnetization (μB per formula unit) = 0.0
# - crystal system = cubic
data_Li2HgCl
_cell_length_a 6.938
_cell_length_b 6.938
_cell_length_c 6.938
_cell_angle_alpha 90.00
_cell_angle_beta 90.00
_cell_angle_gamma 90.00
_space_group_name_H-M_alt 'F m -3 m'
_space_group_IT_number 225
_space_group_name_Hall '-F 4 2 3'
loop_
_atom_site_label
_atom_site_type_symbol
_atom_site_fract_x
_atom_site_fract_y
_atom_site_fract_z
Li1 Li 0.250 0.250 0.250
Hg1 Hg 0.000 0.000 0.000
Cl1 Cl 0.000 0.000 0.500

Arrangement two

# Li2HgCl | the Alexandria database | PBE-GGA | relaxed
# - N(E_F) (states/eV/f.u.) = 1.919
# - total magnetization (μB per formula unit) = 0.0
# - crystal system = orthorhombic
data_Li2HgCl
_cell_length_a 3.736
_cell_length_b 6.186
_cell_length_c 3.743
_cell_angle_alpha 90.00
_cell_angle_beta 90.00
_cell_angle_gamma 90.00
_space_group_name_H-M_alt 'P m m 2'
_space_group_IT_number 25
_space_group_name_Hall 'P 2 -2'
loop_
_atom_site_label
_atom_site_type_symbol
_atom_site_fract_x
_atom_site_fract_y
_atom_site_fract_z
Li1 Li 0.000 0.000 0.000
Li2 Li 0.500 0.500 0.328
Hg1 Hg 0.000 0.500 0.823
Cl1 Cl 0.500 0.000 0.439

Short version: arrangement one is the least stable of them.

Arrangement one

# Li2HgCl | the Alexandria database | PBE-GGA | relaxed
# - N(E_F) (states/eV/f.u.) = 0.554
# - total magnetization (μB per formula unit) = 0.0
# - crystal system = orthorhombic
data_Li2HgCl
_cell_length_a 3.511
_cell_length_b 5.840
_cell_length_c 8.029
_cell_angle_alpha 90.00
_cell_angle_beta 90.00
_cell_angle_gamma 90.00
_space_group_name_H-M_alt 'C m m m'
_space_group_IT_number 65
_space_group_name_Hall '-C 2 2'
loop_
_atom_site_label
_atom_site_type_symbol
_atom_site_fract_x
_atom_site_fract_y
_atom_site_fract_z
Li1 Li 0.000 0.000 0.203
Hg1 Hg 0.000 0.500 0.500
Cl1 Cl 0.000 0.500 0.000

Arrangement two

# Li2HgCl | the Alexandria database | PBE-GGA | relaxed
# - N(E_F) (states/eV/f.u.) = 1.895
# - total magnetization (μB per formula unit) = 0.0
# - crystal system = monoclinic
data_Li2HgCl
_cell_length_a 6.667
_cell_length_b 6.667
_cell_length_c 3.581
_cell_angle_alpha 90.00
_cell_angle_beta 90.29
_cell_angle_gamma 90.00
_space_group_name_H-M_alt 'C 1 2/m 1'
_space_group_IT_number 12
_space_group_name_Hall '-C 2y'
loop_
_atom_site_label
_atom_site_type_symbol
_atom_site_fract_x
_atom_site_fract_y
_atom_site_fract_z
Li1 Li 0.250 0.250 0.000
Hg1 Hg 0.000 0.000 0.500
Cl1 Cl 0.000 0.500 0.500

Short version: arrangement two is the least stable of them.

Arrangement one

# Li2HgCl4 | the Alexandria database | PBE-GGA | relaxed
# - N(E_F) (states/eV/f.u.) = 0.000
# - total magnetization (μB per formula unit) = 0.0
# - crystal system = tetragonal
data_Li2HgCl4
_cell_length_a 5.375
_cell_length_b 5.375
_cell_length_c 13.091
_cell_angle_alpha 90.00
_cell_angle_beta 90.00
_cell_angle_gamma 90.00
_space_group_name_H-M_alt 'I 4/m m m'
_space_group_IT_number 139
_space_group_name_Hall '-I 4 2'
loop_
_atom_site_label
_atom_site_type_symbol
_atom_site_fract_x
_atom_site_fract_y
_atom_site_fract_z
Li1 Li 0.000 0.000 0.132
Hg1 Hg 0.000 0.000 0.500
Cl1 Cl 0.000 0.000 0.304
Cl2 Cl 0.000 0.500 0.000

Arrangement two

# Li2HgCl4 | the Alexandria database | PBE-GGA | relaxed
# - N(E_F) (states/eV/f.u.) = 0.000
# - total magnetization (μB per formula unit) = 0.0
# - crystal system = tetragonal
data_Li2HgCl4
_cell_length_a 5.624
_cell_length_b 5.624
_cell_length_c 5.745
_cell_angle_alpha 90.00
_cell_angle_beta 90.00
_cell_angle_gamma 90.00
_space_group_name_H-M_alt 'P -4 2 m'
_space_group_IT_number 111
_space_group_name_Hall 'P -4 2'
loop_
_atom_site_label
_atom_site_type_symbol
_atom_site_fract_x
_atom_site_fract_y
_atom_site_fract_z
Li1 Li 0.000 0.500 0.000
Hg1 Hg 0.000 0.000 0.500
Cl1 Cl 0.257 0.257 0.767

Short version: arrangement one is the least stable of them.

Arrangement one

# LiHg2Cl5 | the Alexandria database | PBE-GGA | relaxed
# - N(E_F) (states/eV/f.u.) = 0.000
# - total magnetization (μB per formula unit) = 0.0
# - crystal system = triclinic
data_LiHg2Cl5
_cell_length_a 6.667
_cell_length_b 7.141
_cell_length_c 7.432
_cell_angle_alpha 89.14
_cell_angle_beta 64.41
_cell_angle_gamma 63.18
_space_group_name_H-M_alt 'P 1'
_space_group_IT_number 1
_space_group_name_Hall 'P 1'
loop_
_atom_site_label
_atom_site_type_symbol
_atom_site_fract_x
_atom_site_fract_y
_atom_site_fract_z
Li1 Li 0.000 0.000 0.000
Hg1 Hg 0.378 0.393 0.016
Hg2 Hg 0.463 0.016 0.555
Cl1 Cl 0.061 0.307 0.933
Cl2 Cl 0.103 0.747 0.223
Cl3 Cl 0.409 0.728 0.681
Cl4 Cl 0.562 0.245 0.346
Cl5 Cl 0.746 0.057 0.808

Arrangement two

# LiHg2Cl5 | the Alexandria database | PBE-GGA | relaxed
# - total magnetization (μB per formula unit) = 0.0
# - crystal system = orthorhombic
data_LiHg2Cl5
_cell_length_a 5.362
_cell_length_b 13.265
_cell_length_c 12.476
_cell_angle_alpha 90.00
_cell_angle_beta 90.00
_cell_angle_gamma 90.00
_space_group_name_H-M_alt 'C m c m'
_space_group_IT_number 63
_space_group_name_Hall '-C 2c 2'
loop_
_atom_site_label
_atom_site_type_symbol
_atom_site_fract_x
_atom_site_fract_y
_atom_site_fract_z
Li1 Li 0.000 0.220 0.250
Hg1 Hg 0.000 0.134 0.568
Cl1 Cl 0.000 0.066 0.122
Cl2 Cl 0.000 0.237 0.750
Cl3 Cl 0.000 0.325 0.079

Short version: arrangement two is the least stable of them.

Arrangement one

# Rb2LiHgCl6 | the Alexandria database | PBE-GGA | relaxed
# - N(E_F) (states/eV/f.u.) = 4.086
# - total magnetization (μB per formula unit) = 0.8
# - crystal system = triclinic
data_Rb2LiHgCl6
_cell_length_a 7.036
_cell_length_b 7.300
_cell_length_c 7.496
_cell_angle_alpha 94.07
_cell_angle_beta 116.55
_cell_angle_gamma 117.11
_space_group_name_H-M_alt 'P 1'
_space_group_IT_number 1
_space_group_name_Hall 'P 1'
loop_
_atom_site_label
_atom_site_type_symbol
_atom_site_fract_x
_atom_site_fract_y
_atom_site_fract_z
Rb1 Rb 0.000 0.000 0.000
Rb2 Rb 0.020 0.521 0.500
Li1 Li 0.511 0.761 0.252
Hg1 Hg 0.510 0.260 0.750
Cl1 Cl 0.064 0.564 0.077
Cl2 Cl 0.394 0.449 0.944
Cl3 Cl 0.478 0.003 0.957
Cl4 Cl 0.543 0.519 0.544
Cl5 Cl 0.626 0.072 0.557
Cl6 Cl 0.958 0.956 0.423

Arrangement two

# Rb2LiHgCl6 | the Alexandria database | PBE-GGA | relaxed
# - N(E_F) (states/eV/f.u.) = 7.444
# - total magnetization (μB per formula unit) = 0.0
# - crystal system = tetragonal
data_Rb2LiHgCl6
_cell_length_a 7.680
_cell_length_b 7.680
_cell_length_c 9.094
_cell_angle_alpha 90.00
_cell_angle_beta 90.00
_cell_angle_gamma 90.00
_space_group_name_H-M_alt 'I 4/m m m'
_space_group_IT_number 139
_space_group_name_Hall '-I 4 2'
loop_
_atom_site_label
_atom_site_type_symbol
_atom_site_fract_x
_atom_site_fract_y
_atom_site_fract_z
Rb1 Rb 0.000 0.500 0.250
Li1 Li 0.000 0.000 0.000
Hg1 Hg 0.000 0.000 0.500
Cl1 Cl 0.000 0.000 0.241
Cl2 Cl 0.248 0.248 0.000

Short version: arrangement two is the least stable of them.